TaTl3: optimized geometry, PBE-GGA.

Output
* ΔH_f (0 K): 617 meV/atom
* SG: Cmmm, No. 65
* DFT total energy: -4.121 eV/atom
* V: 95 Å³/cell
* Fermi-level density of states: 0.731 states/eV per atom

Cell lengths 5.6279, 5.6279, 3.1772 Å; angles 90.00, 90.00, 108.79 degrees
Element x y z (fractional)
Ta  0.0000  0.0000  0.0000
Tl  0.0000  0.5000  0.5000
Tl  0.5000  0.0000  0.5000
Tl  0.5000  0.5000  0.0000